## Sr5C (PBE)

Data for Sr5C after structural relaxation.

a = 7.841 Å, b = 7.841 Å, c = 7.097 Å
α = 90.00°, β = 90.00°, γ = 120.00°
Site moments in Bohr magnetons follow the coordinates.
Sites, in units of the cell vectors:
Sr1 0.667 0.333 0.000  0.01
Sr2 0.000 0.500 0.500  0.01
Sr3 0.500 0.500 0.500  0.01
Sr4 0.500 0.000 0.500  0.01
Sr5 0.333 0.667 0.000  0.01
C1 0.000 0.000 0.000  1.03

Electronic total energy in eV per atom: -1.553
Total moment in μB/cell: 2.7
ΔE to the lowest computed polymorph in eV/f.u.: 6.38
Fermi-level density of states in states/eV/f.u.: 5.9
Energy relative to the elements in eV/f.u.: 8.31

=====

## Sr2C3 (PBE)

Data for Sr2C3 after structural relaxation.

a = 4.497 Å, b = 4.497 Å, c = 5.718 Å
α = 90.00°, β = 90.00°, γ = 120.00°
Site moments in Bohr magnetons follow the coordinates.
Sites, in units of the cell vectors:
C1 0.333 0.667 0.235  0.72
C2 0.000 0.000 0.000  -0.57
C3 0.667 0.333 0.765  0.72
Sr1 0.333 0.667 0.757  0.09
Sr2 0.667 0.333 0.243  0.09

Electronic total energy in eV per atom: -4.230
Total moment in μB/cell: 2.0
ΔE to the lowest computed polymorph in eV/f.u.: 9.46
Fermi-level density of states in states/eV/f.u.: 2.6
Energy relative to the elements in eV/f.u.: 9.88

=====

## SrC (PBE)

Data for SrC after structural relaxation.

a = 5.050 Å, b = 5.050 Å, c = 7.861 Å
α = 67.68°, β = 67.68°, γ = 45.28°
Sites, in units of the cell vectors:
C1 0.299 0.299 0.819
C2 0.152 0.152 0.925
C3 0.270 0.270 0.359
Sr1 0.635 0.635 0.653
Sr2 0.822 0.822 0.068
Sr3 0.988 0.988 0.342

Electronic total energy in eV per atom: -5.076
Total moment in μB/cell: 0.0
ΔE to the lowest computed polymorph in eV/f.u.: 0.69
Fermi-level density of states in states/eV/f.u.: 0.5
Energy relative to the elements in eV/f.u.: 0.75

=====

## SrC (PBE)

Data for SrC after structural relaxation.

a = 4.021 Å, b = 4.021 Å, c = 6.279 Å
α = 90.00°, β = 90.00°, γ = 120.00°
Site moments in Bohr magnetons follow the coordinates.
Sites, in units of the cell vectors:
Sr1 0.333 0.667 0.250  0.08
Sr2 0.667 0.333 0.750  0.08
C1 0.000 0.000 0.000  0.53
C2 0.000 0.000 0.500  0.53

Electronic total energy in eV per atom: -4.196
Total moment in μB/cell: 2.5
ΔE to the lowest computed polymorph in eV/f.u.: 2.45
Fermi-level density of states in states/eV/f.u.: 1.5
Energy relative to the elements in eV/f.u.: 2.51